Compound: ZnAgTe2
Source: Alexandria
Functional: PBE
Structure: optimized geometry

CIF file:
```
data_ZnAgTe2
_cell_length_a 4.2205
_cell_length_b 4.2205
_cell_length_c 6.3363
_cell_angle_alpha 90.00
_cell_angle_beta 90.00
_cell_angle_gamma 90.00
_symmetry_space_group_name_H-M 'P -4 m 2'
_symmetry_Int_Tables_number 115
_symmetry_space_group_name_Hall 'P -4 -2'
loop_
_atom_site_label
_atom_site_type_symbol
_atom_site_fract_x
_atom_site_fract_y
_atom_site_fract_z
Zn1 Zn 0.0000 0.0000 0.0000
Ag1 Ag 0.5000 0.5000 0.0000
Te1 Te 0.0000 0.5000 0.2872
```

Summary:
- V: 28.2 Å³ per atom
- Total energy: -0.1000 hartree per atom
- Fermi-level density of states: 2.069 states/eV per cell
- Energy above the lowest structure with this stoichiometry: 61 meV per atom
- Crystal system: tetragonal
- Uncorrected formation energy: -0.1177 eV/atom